Below is a relaxed LiCuS2 crystal, with properties calculated at the PBE-GGA level.

a b c (Å): 7.4307 7.4307 7.4307
angles (deg): 27.16 27.16 27.16
Last column: nearest neighbours and their distance in Å.
Atoms (fractional coordinates):
Li 0.0000 0.0000 0.0000  2 S 2.29
Cu 0.5000 0.5000 0.5000  6 S 2.39
S 0.1067 0.1067 0.1067  1 Li 2.29, 3 Cu 2.39
S 0.8933 0.8933 0.8933  1 Li 2.29, 3 Cu 2.39

Summary:
DFT total energy   -0.13889 hartree per atom
Size of the total moment   0.00 μB per formula unit